# 1
{"formula": "CuTcAg2", "functional": "GGA-PBE", "state": "relaxed", "cell": [[3.818, 0.000, 0.000], [0.000, 3.818, 0.000], [0.000, 0.000, 4.419]], "species": ["Cu", "Tc", "Ag", "Ag"], "frac_coords": [[0.000, 0.000, 0.000], [0.500, 0.500, 0.000], [0.000, 0.500, 0.500], [0.500, 0.000, 0.500]], "rho_g_cm3": 9.73, "dft_energy_ev_per_cell": -17.5, "n_ef_per_ev_fu": 5.4, "e_above_lowest_polymorph_ev_per_fu": 1.518, "magmom_total_mub_per_cell": 2.1}

---

# 2
{"formula": "CuTcAg2", "functional": "GGA-PBE", "state": "relaxed", "cell": [[1.893, -1.903, 0.000], [1.893, 1.903, 0.000], [0.000, 0.000, 8.580]], "species": ["Cu", "Tc", "Ag", "Ag"], "frac_coords": [[0.000, 0.000, 0.000], [0.000, 0.000, 0.500], [0.500, 0.500, 0.237], [0.500, 0.500, 0.763]], "rho_g_cm3": 10.13, "dft_energy_ev_per_cell": -18.7, "n_ef_per_ev_fu": 2.2, "e_above_lowest_polymorph_ev_per_fu": 0.310, "magmom_total_mub_per_cell": 0.0}

---

# 3
{"formula": "Cu2TcAg", "functional": "GGA-PBE", "state": "relaxed", "cell": [[4.379, -1.304, 0.000], [4.379, 1.304, 0.000], [-0.633, 0.000, 5.025]], "species": ["Cu", "Cu", "Tc", "Ag"], "frac_coords": [[0.247, 0.247, 0.229], [0.753, 0.753, 0.771], [0.500, 0.500, 0.000], [0.000, 0.000, 0.500]], "rho_g_cm3": 9.63, "dft_energy_ev_per_cell": -19.9, "n_ef_per_ev_fu": 3.8, "e_above_lowest_polymorph_ev_per_fu": 0.628, "magmom_total_mub_per_cell": 0.1}

---

# 4
{"formula": "Cu2TcAg", "functional": "GGA-PBE", "state": "relaxed", "cell": [[-1.311, 2.318, 4.703], [1.311, -2.318, 4.703], [1.311, 2.318, -4.703]], "species": ["Cu", "Cu", "Tc", "Ag"], "frac_coords": [[0.000, 0.000, 0.000], [0.774, 0.274, 0.500], [0.244, 0.744, 0.500], [0.519, 0.519, 0.000]], "rho_g_cm3": 9.67, "dft_energy_ev_per_cell": -19.8, "n_ef_per_ev_fu": 2.7, "e_above_lowest_polymorph_ev_per_fu": 0.686, "magmom_total_mub_per_cell": 0.8}

---

# 5
{"formula": "Cu2TcAg", "functional": "GGA-PBE", "state": "relaxed", "cell": [[-1.933, 1.933, 3.861], [1.933, -1.933, 3.861], [1.933, 1.933, -3.861]], "species": ["Cu", "Cu", "Tc", "Ag"], "frac_coords": [[0.000, 0.000, 0.000], [0.750, 0.250, 0.500], [0.250, 0.750, 0.500], [0.500, 0.500, 0.000]], "rho_g_cm3": 9.58, "dft_energy_ev_per_cell": -19.3, "n_ef_per_ev_fu": 2.6, "e_above_lowest_polymorph_ev_per_fu": 1.236, "magmom_total_mub_per_cell": 1.9}

---

# 6
{"formula": "CuTc3Ag", "functional": "GGA-PBE", "state": "relaxed", "cell": [[4.471, 0.000, 0.000], [0.000, 4.471, 0.000], [0.000, 0.000, 4.471]], "species": ["Cu", "Tc", "Tc", "Tc", "Ag"], "frac_coords": [[0.000, 0.000, 0.000], [0.000, 0.000, 0.500], [0.000, 0.500, 0.000], [0.500, 0.000, 0.000], [0.500, 0.500, 0.500]], "rho_g_cm3": 8.65, "dft_energy_ev_per_cell": -29.3, "n_ef_per_ev_fu": 8.5, "e_above_lowest_polymorph_ev_per_fu": 0.000, "magmom_total_mub_per_cell": 1.8}

---

# 7
{"formula": "CuTcAg2", "functional": "GGA-PBE", "state": "relaxed", "cell": [[-1.344, 2.408, 4.885], [1.344, -2.408, 4.885], [1.344, 2.408, -4.885]], "species": ["Cu", "Tc", "Ag", "Ag"], "frac_coords": [[0.000, 0.000, 0.000], [0.500, 0.500, 0.000], [0.237, 0.737, 0.500], [0.763, 0.263, 0.500]], "rho_g_cm3": 9.90, "dft_energy_ev_per_cell": -18.2, "n_ef_per_ev_fu": 2.6, "e_above_lowest_polymorph_ev_per_fu": 0.793, "magmom_total_mub_per_cell": 1.0}

---

# 8
{"formula": "CuTcAg2", "functional": "GGA-PBE", "state": "relaxed", "cell": [[4.793, -1.333, 0.000], [4.793, 1.333, 0.000], [-0.785, 0.000, 4.903]], "species": ["Cu", "Tc", "Ag", "Ag"], "frac_coords": [[0.000, 0.000, 0.000], [0.500, 0.500, 0.500], [0.252, 0.252, 0.753], [0.748, 0.748, 0.247]], "rho_g_cm3": 10.00, "dft_energy_ev_per_cell": -18.3, "n_ef_per_ev_fu": 2.4, "e_above_lowest_polymorph_ev_per_fu": 0.646, "magmom_total_mub_per_cell": 0.9}

---

# 9
{"formula": "CuTcAg2", "functional": "GGA-PBE", "state": "relaxed", "cell": [[-2.003, 2.003, 3.984], [2.003, -2.003, 3.984], [2.003, 2.003, -3.984]], "species": ["Cu", "Tc", "Ag", "Ag"], "frac_coords": [[0.000, 0.000, 0.000], [0.500, 0.500, 0.000], [0.250, 0.750, 0.500], [0.750, 0.250, 0.500]], "rho_g_cm3": 9.80, "dft_energy_ev_per_cell": -17.7, "n_ef_per_ev_fu": 2.6, "e_above_lowest_polymorph_ev_per_fu": 1.264, "magmom_total_mub_per_cell": 2.2}

---

# 10
{"formula": "CuTcAg2", "functional": "GGA-PBE", "state": "relaxed", "cell": [[2.686, 0.000, 0.000], [0.000, 4.817, 0.000], [0.000, 0.000, 4.914]], "species": ["Cu", "Tc", "Ag", "Ag"], "frac_coords": [[0.000, 0.000, 0.000], [0.500, 0.500, 0.000], [0.000, 0.500, 0.500], [0.500, 0.000, 0.500]], "rho_g_cm3": 9.85, "dft_energy_ev_per_cell": -18.2, "n_ef_per_ev_fu": 1.8, "e_above_lowest_polymorph_ev_per_fu": 0.804, "magmom_total_mub_per_cell": 0.7}

---

# 11
{"formula": "CuTcAg2", "functional": "GGA-PBE", "state": "relaxed", "cell": [[1.391, 0.803, 9.342], [-1.391, 0.803, 9.342], [0.000, -1.607, 9.342]], "species": ["Cu", "Tc", "Ag", "Ag"], "frac_coords": [[0.000, 0.000, 0.000], [0.741, 0.741, 0.741], [0.252, 0.252, 0.252], [0.495, 0.495, 0.495]], "rho_g_cm3": 10.00, "dft_energy_ev_per_cell": -18.9, "n_ef_per_ev_fu": 4.2, "e_above_lowest_polymorph_ev_per_fu": 0.125, "magmom_total_mub_per_cell": 0.5}

---

# 12
{"formula": "CuTcAg2", "functional": "GGA-PBE", "state": "relaxed", "cell": [[0.000, 3.185, 3.185], [3.185, 0.000, 3.185], [3.185, 3.185, 0.000]], "species": ["Cu", "Tc", "Ag", "Ag"], "frac_coords": [[0.000, 0.000, 0.000], [0.500, 0.500, 0.500], [0.250, 0.250, 0.250], [0.750, 0.750, 0.750]], "rho_g_cm3": 9.70, "dft_energy_ev_per_cell": -17.6, "n_ef_per_ev_fu": 1.7, "e_above_lowest_polymorph_ev_per_fu": 1.397, "magmom_total_mub_per_cell": 2.1}

---

# 13
{"formula": "CuTcAg2", "functional": "GGA-PBE", "state": "relaxed", "cell": [[4.691, -1.334, 0.000], [4.691, 1.334, 0.000], [-0.839, 0.000, 5.020]], "species": ["Cu", "Tc", "Ag", "Ag"], "frac_coords": [[0.000, 0.000, 0.000], [0.739, 0.739, 0.215], [0.253, 0.253, 0.732], [0.494, 0.494, 0.481]], "rho_g_cm3": 9.97, "dft_energy_ev_per_cell": -18.4, "n_ef_per_ev_fu": 2.6, "e_above_lowest_polymorph_ev_per_fu": 0.619, "magmom_total_mub_per_cell": 0.8}

---

# 14
{"formula": "CuTcAg2", "functional": "GGA-PBE", "state": "relaxed", "cell": [[-1.344, 2.447, 4.858], [1.344, -2.447, 4.858], [1.344, 2.447, -4.858]], "species": ["Cu", "Tc", "Ag", "Ag"], "frac_coords": [[0.000, 0.000, 0.000], [0.228, 0.728, 0.500], [0.492, 0.492, 0.000], [0.760, 0.260, 0.500]], "rho_g_cm3": 9.80, "dft_energy_ev_per_cell": -18.2, "n_ef_per_ev_fu": 2.2, "e_above_lowest_polymorph_ev_per_fu": 0.815, "magmom_total_mub_per_cell": 0.9}

---

# 15
{"formula": "Cu2TcAg", "functional": "GGA-PBE", "state": "relaxed", "cell": [[0.000, 3.058, 3.058], [3.058, 0.000, 3.058], [3.058, 3.058, 0.000]], "species": ["Cu", "Cu", "Tc", "Ag"], "frac_coords": [[0.250, 0.250, 0.250], [0.750, 0.750, 0.750], [0.000, 0.000, 0.000], [0.500, 0.500, 0.500]], "rho_g_cm3": 9.66, "dft_energy_ev_per_cell": -19.6, "n_ef_per_ev_fu": 0.9, "e_above_lowest_polymorph_ev_per_fu": 0.941, "magmom_total_mub_per_cell": 2.0}

---

# 16
{"formula": "Cu2TcAg", "functional": "GGA-PBE", "state": "relaxed", "cell": [[0.000, 3.079, 3.079], [3.079, 0.000, 3.079], [3.079, 3.079, 0.000]], "species": ["Cu", "Cu", "Tc", "Ag"], "frac_coords": [[0.000, 0.000, 0.000], [0.250, 0.250, 0.250], [0.750, 0.750, 0.750], [0.500, 0.500, 0.500]], "rho_g_cm3": 9.47, "dft_energy_ev_per_cell": -19.2, "n_ef_per_ev_fu": 2.0, "e_above_lowest_polymorph_ev_per_fu": 1.378, "magmom_total_mub_per_cell": 2.1}

---

# 17
{"formula": "Cu2TcAg", "functional": "GGA-PBE", "state": "relaxed", "cell": [[-1.315, 2.420, 4.623], [1.315, -2.420, 4.623], [1.315, 2.420, -4.623]], "species": ["Cu", "Cu", "Tc", "Ag"], "frac_coords": [[0.245, 0.245, 0.000], [0.755, 0.755, 0.000], [0.000, 0.500, 0.500], [0.500, 0.000, 0.500]], "rho_g_cm3": 9.39, "dft_energy_ev_per_cell": -19.5, "n_ef_per_ev_fu": 2.1, "e_above_lowest_polymorph_ev_per_fu": 1.041, "magmom_total_mub_per_cell": 0.9}

---

# 18
{"formula": "Cu2TcAg", "functional": "GGA-PBE", "state": "relaxed", "cell": [[1.361, 0.786, 8.886], [-1.361, 0.786, 8.886], [0.000, -1.572, 8.886]], "species": ["Cu", "Cu", "Tc", "Ag"], "frac_coords": [[0.000, 0.000, 0.000], [0.258, 0.258, 0.258], [0.747, 0.747, 0.747], [0.506, 0.506, 0.506]], "rho_g_cm3": 9.69, "dft_energy_ev_per_cell": -20.1, "n_ef_per_ev_fu": 4.5, "e_above_lowest_polymorph_ev_per_fu": 0.388, "magmom_total_mub_per_cell": 0.4}

---

# 19
{"formula": "CuTcAg2", "functional": "GGA-PBE", "state": "relaxed", "cell": [[2.639, 0.000, 0.000], [0.000, 4.600, 0.000], [-0.763, 0.000, 5.182]], "species": ["Cu", "Tc", "Ag", "Ag"], "frac_coords": [[0.000, 0.000, 0.000], [0.500, 0.000, 0.500], [0.171, 0.500, 0.756], [0.829, 0.500, 0.244]], "rho_g_cm3": 9.96, "dft_energy_ev_per_cell": -18.2, "n_ef_per_ev_fu": 2.5, "e_above_lowest_polymorph_ev_per_fu": 0.772, "magmom_total_mub_per_cell": 1.0}

---

# 20
{"formula": "CuTcAg2", "functional": "GGA-PBE", "state": "relaxed", "cell": [[2.654, 0.000, 0.000], [0.000, 4.231, 0.000], [-1.293, 0.000, 5.642]], "species": ["Cu", "Tc", "Ag", "Ag"], "frac_coords": [[0.000, 0.000, 0.000], [0.583, 0.500, 0.184], [0.219, 0.000, 0.464], [0.844, 0.500, 0.717]], "rho_g_cm3": 9.89, "dft_energy_ev_per_cell": -18.4, "n_ef_per_ev_fu": 2.2, "e_above_lowest_polymorph_ev_per_fu": 0.553, "magmom_total_mub_per_cell": 1.0}

---

# 21
{"formula": "Cu2TcAg", "functional": "GGA-PBE", "state": "relaxed", "cell": [[2.661, 0.000, 0.000], [0.000, 2.661, 0.000], [0.000, 0.000, 7.964]], "species": ["Cu", "Cu", "Tc", "Ag"], "frac_coords": [[0.000, 0.000, 0.240], [0.000, 0.000, 0.760], [0.500, 0.500, 0.000], [0.500, 0.500, 0.500]], "rho_g_cm3": 9.81, "dft_energy_ev_per_cell": -20.5, "n_ef_per_ev_fu": 2.9, "e_above_lowest_polymorph_ev_per_fu": 0.000, "magmom_total_mub_per_cell": 0.0}

---

# 22
{"formula": "CuTcAg2", "functional": "GGA-PBE", "state": "relaxed", "cell": [[2.673, 0.000, 0.000], [0.000, 3.934, 0.000], [0.000, 0.000, 6.002]], "species": ["Cu", "Tc", "Ag", "Ag"], "frac_coords": [[0.000, 0.000, 0.000], [0.500, 0.500, 0.203], [0.000, 0.000, 0.465], [0.500, 0.500, 0.736]], "rho_g_cm3": 9.92, "dft_energy_ev_per_cell": -18.4, "n_ef_per_ev_fu": 3.0, "e_above_lowest_polymorph_ev_per_fu": 0.560, "magmom_total_mub_per_cell": 0.6}

---

# 23
{"formula": "Cu2TcAg", "functional": "GGA-PBE", "state": "relaxed", "cell": [[2.631, 0.000, 0.000], [0.000, 2.631, 0.000], [0.000, 0.000, 8.123]], "species": ["Cu", "Cu", "Tc", "Ag"], "frac_coords": [[0.000, 0.000, 0.000], [0.500, 0.500, 0.219], [0.000, 0.000, 0.460], [0.500, 0.500, 0.743]], "rho_g_cm3": 9.83, "dft_energy_ev_per_cell": -20.4, "n_ef_per_ev_fu": 2.3, "e_above_lowest_polymorph_ev_per_fu": 0.180, "magmom_total_mub_per_cell": 0.0}

---

# 24
{"formula": "Cu3TcAg", "functional": "GGA-PBE", "state": "relaxed", "cell": [[4.635, 0.000, 0.000], [0.000, 4.635, 0.000], [0.000, 0.000, 4.635]], "species": ["Cu", "Cu", "Cu", "Tc", "Ag"], "frac_coords": [[0.000, 0.000, 0.500], [0.000, 0.500, 0.000], [0.500, 0.000, 0.000], [0.000, 0.000, 0.000], [0.500, 0.500, 0.500]], "rho_g_cm3": 6.61, "dft_energy_ev_per_cell": -18.7, "n_ef_per_ev_fu": 4.2, "e_above_lowest_polymorph_ev_per_fu": 0.000, "magmom_total_mub_per_cell": 1.1}

---

# 25
{"formula": "Cu2AgTe", "functional": "GGA-PBE", "state": "relaxed", "cell": [[-2.072, 2.072, 4.016], [2.072, -2.072, 4.016], [2.072, 2.072, -4.016]], "species": ["Cu", "Cu", "Ag", "Te"], "frac_coords": [[0.250, 0.750, 0.500], [0.750, 0.250, 0.500], [0.000, 0.000, 0.000], [0.500, 0.500, 0.000]], "rho_g_cm3": 8.73, "dft_energy_ev_per_cell": -13.3, "n_ef_per_ev_fu": 1.9, "e_form_raw_mev_per_atom": 209.0, "e_above_lowest_polymorph_ev_per_fu": 0.227, "magmom_total_mub_per_cell": 0.0}

---

# 26
{"formula": "CuAgTe2", "functional": "GGA-PBE", "state": "relaxed", "cell": [[-1.939, 2.197, 6.082], [1.939, -2.197, 6.082], [1.939, 2.197, -6.082]], "species": ["Cu", "Ag", "Te", "Te"], "frac_coords": [[0.000, 0.000, 0.000], [0.500, 0.500, 0.000], [0.148, 0.648, 0.500], [0.852, 0.352, 0.500]], "rho_g_cm3": 6.84, "dft_energy_ev_per_cell": -13.2, "n_ef_per_ev_fu": 1.4, "e_form_raw_mev_per_atom": 4.7, "magmom_total_mub_per_cell": 0.0}

---

# 27
{"formula": "CuAg12Te6", "functional": "GGA-PBE", "state": "relaxed", "cell": [[6.628, 0.000, 0.000], [-0.069, 7.634, 0.000], [-0.745, -0.822, 8.934]], "species": ["Cu", "Ag", "Ag", "Ag", "Ag", "Ag", "Ag", "Ag", "Ag", "Ag", "Ag", "Ag", "Ag", "Te", "Te", "Te", "Te", "Te", "Te"], "frac_coords": [[0.000, 0.000, 0.000], [0.028, 0.288, 0.228], [0.108, 0.919, 0.294], [0.185, 0.594, 0.469], [0.364, 0.250, 0.451], [0.400, 0.484, 0.213], [0.404, 0.110, 0.135], [0.596, 0.890, 0.865], [0.600, 0.516, 0.787], [0.636, 0.750, 0.549], [0.815, 0.406, 0.531], [0.892, 0.081, 0.706], [0.972, 0.712, 0.772], [0.193, 0.387, 0.724], [0.270, 0.936, 0.606], [0.271, 0.760, 0.024], [0.729, 0.240, 0.976], [0.730, 0.064, 0.394], [0.807, 0.613, 0.276]], "rho_g_cm3": 7.80, "dft_energy_ev_per_cell": -56.7, "n_ef_per_ev_fu": 8.3, "e_form_raw_mev_per_atom": 24.7, "magmom_total_mub_per_cell": 0.0}

---

# 28
{"formula": "CuAgTe2", "functional": "GGA-PBE", "state": "relaxed", "cell": [[1.910, -3.052, 0.000], [1.910, 3.052, 0.000], [0.000, 0.000, 8.208]], "species": ["Cu", "Ag", "Te", "Te"], "frac_coords": [[0.000, 0.000, 0.000], [0.000, 0.000, 0.500], [0.500, 0.500, 0.227], [0.500, 0.500, 0.773]], "rho_g_cm3": 7.40, "dft_energy_ev_per_cell": -12.3, "n_ef_per_ev_fu": 2.6, "e_form_raw_mev_per_atom": 232.7, "magmom_total_mub_per_cell": 0.0}

---

# 29
{"formula": "CuAgTe", "functional": "GGA-PBE", "state": "relaxed", "cell": [[4.374, 0.000, 0.000], [1.359, 4.730, 0.000], [1.284, 1.412, 6.712]], "species": ["Cu", "Cu", "Ag", "Ag", "Te", "Te"], "frac_coords": [[0.247, 0.084, 0.418], [0.753, 0.916, 0.582], [0.096, 0.662, 0.263], [0.904, 0.338, 0.737], [0.251, 0.743, 0.785], [0.749, 0.257, 0.215]], "rho_g_cm3": 7.15, "dft_energy_ev_per_cell": -20.2, "n_ef_per_ev_fu": 0.4, "e_form_raw_mev_per_atom": -8.8, "e_above_lowest_polymorph_ev_per_fu": 0.070, "magmom_total_mub_per_cell": 0.0}